Be2VTeO8: optimized geometry, PBE+U.

Values from the calculation:
N(E_F) = 5.4 states/eV per cell
E_tot = -71.59 eV per cell

a = 5.3324 Å, b = 5.3324 Å, c = 5.4862 Å
α = 90.00°, β = 90.00°, γ = 120.00°
Space group P-3m1 (No. 164)
One atom of each set of equivalent atoms:
Be 0.3333 0.6667 0.3213 (multiplicity 2)
V 0.0000 0.0000 0.5000 (multiplicity 1)
Te 0.0000 0.0000 0.0000 (multiplicity 1)
O 0.1578 0.3156 0.2519 (multiplicity 6)
O 0.3333 0.6667 0.6066 (multiplicity 2)